## NaVH8N2F6 (PBE with a Hubbard U)

Data for NaVH8N2F6 after structural relaxation.

a = 8.5362 Å, b = 8.5362 Å, c = 8.5362 Å
α = 90.00°, β = 90.00°, γ = 90.00°
Closest atoms and distances in Å follow each position.
Space group Fm-3m (No. 225)
Unique sites:
Na: 0.0000 0.0000 0.0000 (multiplicity 4)  6 F 2.27
V: 0.0000 0.0000 0.5000 (multiplicity 4)  6 F 1.99
H: 0.1806 0.1806 0.1806 (multiplicity 32)  1 N 1.03
N: 0.2500 0.2500 0.2500 (multiplicity 8)  4 H 1.03
F: 0.0000 0.0000 0.2663 (multiplicity 24)  1 V 1.99

Computed properties:
Magnetization in μB/f.u.: 2.00
DFT total energy in eV/atom: -5.06